(1)
# CdRe2Mo, PBEsol geometry, DFT meta-GGA SCAN
data_CdRe2Mo
_space_group_name_H-M_alt 'P 1 2/m 1'
_space_group_IT_number 10
_cell_length_a 4.885
_cell_length_b 2.788
_cell_length_c 4.886
_cell_angle_alpha 90.00
_cell_angle_beta 111.09
_cell_angle_gamma 90.00
loop_
_space_group_symop_operation_xyz
'x,y,z'
'-x,-y,-z'
'-x,y,-z'
'x,-y,z'
loop_
_atom_site_label
_atom_site_type_symbol
_atom_site_fract_x
_atom_site_fract_y
_atom_site_fract_z
_atom_site_occupancy
Cd1 Cd 0.000 0.000 0.000 1
Re1 Re 0.000 0.500 0.500 1
Re2 Re 0.500 0.000 0.500 1
Mo1 Mo 0.500 0.500 0.000 1
# Formation enthalpy at 0 K   0.56 eV/atom
# Density   15534 kg/m3
# DFT total energy   -205.264 eV for the cell shown
# Size of the total moment   0.00 μB/f.u.

=====

(2)
# TaCdReMo2, PBEsol geometry, DFT meta-GGA SCAN
data_TaCdReMo2
_space_group_name_H-M_alt 'P 4/m m m'
_space_group_IT_number 123
_space_group_name_Hall '-P 4 2'
_cell_length_a 4.680
_cell_length_b 4.680
_cell_length_c 4.719
_cell_angle_alpha 90.00
_cell_angle_beta 90.00
_cell_angle_gamma 90.00
loop_
_atom_site_label
_atom_site_type_symbol
_atom_site_fract_x
_atom_site_fract_y
_atom_site_fract_z
_atom_site_occupancy
Ta1 Ta 0.000 0.000 0.000 1
Cd1 Cd 0.500 0.500 0.500 1
Re1 Re 0.500 0.500 0.000 1
Mo1 Mo 0.000 0.500 0.500 1
# Formation enthalpy at 0 K   2.85 eV/atom
# Density   10788 kg/m3
# DFT total energy   -223.620 eV for the cell shown
# Size of the total moment   0.00 μB/f.u.

=====

(3)
# CdMoRh2, PBEsol geometry, DFT meta-GGA SCAN
data_CdMoRh2
_space_group_name_H-M_alt 'P 4/m m m'
_space_group_IT_number 123
_space_group_name_Hall '-P 4 2'
_cell_length_a 2.816
_cell_length_b 2.816
_cell_length_c 7.610
_cell_angle_alpha 90.00
_cell_angle_beta 90.00
_cell_angle_gamma 90.00
loop_
_atom_site_label
_atom_site_type_symbol
_atom_site_fract_x
_atom_site_fract_y
_atom_site_fract_z
_atom_site_occupancy
Cd1 Cd 0.000 0.000 0.000 1
Mo1 Mo 0.000 0.000 0.500 1
Rh1 Rh 0.500 0.500 0.269 1
# Formation enthalpy at 0 K   -0.19 eV/atom
# Density   11393 kg/m3
# DFT total energy   -133.620 eV for the cell shown
# Size of the total moment   0.00 μB/f.u.

=====

(4)
# CdMoRh2, PBEsol geometry, DFT meta-GGA SCAN
data_CdMoRh2
_space_group_name_H-M_alt 'P 4/m m m'
_space_group_IT_number 123
_space_group_name_Hall '-P 4 2'
_cell_length_a 4.620
_cell_length_b 4.620
_cell_length_c 2.845
_cell_angle_alpha 90.00
_cell_angle_beta 90.00
_cell_angle_gamma 90.00
loop_
_atom_site_label
_atom_site_type_symbol
_atom_site_fract_x
_atom_site_fract_y
_atom_site_fract_z
_atom_site_occupancy
Cd1 Cd 0.000 0.000 0.000 1
Mo1 Mo 0.500 0.500 0.000 1
Rh1 Rh 0.000 0.500 0.500 1
# Formation enthalpy at 0 K   0.12 eV/atom
# Density   11329 kg/m3
# DFT total energy   -132.348 eV for the cell shown
# Size of the total moment   0.00 μB/f.u.

=====

(5)
# CdMo2Rh, PBEsol geometry, DFT meta-GGA SCAN
data_CdMo2Rh
_space_group_name_H-M_alt 'I m m m'
_space_group_IT_number 71
_space_group_name_Hall '-I 2 2'
_cell_length_a 3.356
_cell_length_b 4.125
_cell_length_c 8.954
_cell_angle_alpha 90.00
_cell_angle_beta 90.00
_cell_angle_gamma 90.00
loop_
_atom_site_label
_atom_site_type_symbol
_atom_site_fract_x
_atom_site_fract_y
_atom_site_fract_z
_atom_site_occupancy
Cd1 Cd 0.000 0.000 0.000 1
Mo1 Mo 0.000 0.500 0.244 1
Rh1 Rh 0.000 0.000 0.500 1
# Formation enthalpy at 0 K   0.20 eV/atom
# Density   10908 kg/m3
# DFT total energy   -266.280 eV for the cell shown
# Size of the total moment   0.00 μB/f.u.

=====

(6)
# CdMo2Ru, PBEsol geometry, DFT meta-GGA SCAN
data_CdMo2Ru
_space_group_name_H-M_alt 'P m m m'
_space_group_IT_number 47
_cell_length_a 3.861
_cell_length_b 3.872
_cell_length_c 4.116
_cell_angle_alpha 90.00
_cell_angle_beta 90.00
_cell_angle_gamma 90.00
loop_
_space_group_symop_operation_xyz
'x,y,z'
'-x,-y,-z'
'-x,-y,z'
'x,y,-z'
'x,-y,-z'
'-x,y,z'
'-x,y,-z'
'x,-y,z'
loop_
_atom_site_label
_atom_site_type_symbol
_atom_site_fract_x
_atom_site_fract_y
_atom_site_fract_z
_atom_site_occupancy
Cd1 Cd 0.000 0.000 0.000 1
Mo1 Mo 0.000 0.500 0.500 1
Mo2 Mo 0.500 0.000 0.500 1
Ru1 Ru 0.500 0.500 0.000 1
# Formation enthalpy at 0 K   0.42 eV/atom
# Density   10938 kg/m3
# DFT total energy   -133.347 eV for the cell shown
# Size of the total moment   0.00 μB/f.u.

=====

(7)
# CdMo2Ru, PBEsol geometry, DFT meta-GGA SCAN
data_CdMo2Ru
_space_group_name_H-M_alt 'F -4 3 m'
_space_group_IT_number 216
_space_group_name_Hall 'F -4 2 3'
_cell_length_a 6.293
_cell_length_b 6.293
_cell_length_c 6.293
_cell_angle_alpha 90.00
_cell_angle_beta 90.00
_cell_angle_gamma 90.00
loop_
_atom_site_label
_atom_site_type_symbol
_atom_site_fract_x
_atom_site_fract_y
_atom_site_fract_z
_atom_site_occupancy
Cd1 Cd 0.000 0.000 0.000 1
Mo1 Mo 0.000 0.000 0.500 1
Mo2 Mo 0.250 0.250 0.250 1
Ru1 Ru 0.250 0.250 0.750 1
# Formation enthalpy at 0 K   0.42 eV/atom
# Density   10801 kg/m3
# DFT total energy   -533.389 eV for the cell shown
# Size of the total moment   0.00 μB/f.u.

=====

(8)
# CdMo2Ru, PBEsol geometry, DFT meta-GGA SCAN
data_CdMo2Ru
_space_group_name_H-M_alt 'P m m m'
_space_group_IT_number 47
_cell_length_a 2.771
_cell_length_b 4.054
_cell_length_c 5.530
_cell_angle_alpha 90.00
_cell_angle_beta 90.00
_cell_angle_gamma 90.00
loop_
_space_group_symop_operation_xyz
'x,y,z'
'-x,-y,-z'
'-x,-y,z'
'x,y,-z'
'x,-y,-z'
'-x,y,z'
'-x,y,-z'
'x,-y,z'
loop_
_atom_site_label
_atom_site_type_symbol
_atom_site_fract_x
_atom_site_fract_y
_atom_site_fract_z
_atom_site_occupancy
Cd1 Cd 0.000 0.000 0.000 1
Mo1 Mo 0.500 0.500 0.277 1
Ru1 Ru 0.000 0.000 0.500 1
# Formation enthalpy at 0 K   0.28 eV/atom
# Density   10836 kg/m3
# DFT total energy   -133.899 eV for the cell shown
# Size of the total moment   0.00 μB/f.u.

=====

(9)
# CdSb2Mo, PBEsol geometry, DFT meta-GGA SCAN
data_CdSb2Mo
_space_group_name_H-M_alt 'C m m 2'
_space_group_IT_number 35
_cell_length_a 3.705
_cell_length_b 4.729
_cell_length_c 10.172
_cell_angle_alpha 90.00
_cell_angle_beta 90.00
_cell_angle_gamma 90.00
loop_
_space_group_symop_operation_xyz
'x,y,z'
'-x,-y,z'
'-x,y,z'
'x,-y,z'
'x+1/2,y+1/2,z'
'-x+1/2,-y+1/2,z'
'-x+1/2,y+1/2,z'
'x+1/2,-y+1/2,z'
loop_
_atom_site_label
_atom_site_type_symbol
_atom_site_fract_x
_atom_site_fract_y
_atom_site_fract_z
_atom_site_occupancy
Cd1 Cd 0.000 0.000 0.000 1
Sb1 Sb 0.000 0.000 0.415 1
Sb2 Sb 0.000 0.500 0.748 1
Mo1 Mo 0.000 0.500 0.214 1
# E_form (uncorrected)   0.401 eV per atom
# Density   8419 kg/m3
# DFT total energy   -276.437 eV for the cell shown
# Size of the total moment   0.00 μB/f.u.

=====

(10)
# CdSb2Mo, PBEsol geometry, DFT meta-GGA SCAN
data_CdSb2Mo
_space_group_name_H-M_alt 'P 4/m m m'
_space_group_IT_number 123
_space_group_name_Hall '-P 4 2'
_cell_length_a 4.793
_cell_length_b 4.793
_cell_length_c 3.531
_cell_angle_alpha 90.00
_cell_angle_beta 90.00
_cell_angle_gamma 90.00
loop_
_atom_site_label
_atom_site_type_symbol
_atom_site_fract_x
_atom_site_fract_y
_atom_site_fract_z
_atom_site_occupancy
Cd1 Cd 0.000 0.000 0.000 1
Sb1 Sb 0.000 0.500 0.500 1
Mo1 Mo 0.500 0.500 0.000 1
# E_form (uncorrected)   0.564 eV per atom
# Density   9251 kg/m3
# DFT total energy   -137.565 eV for the cell shown
# Size of the total moment   0.00 μB/f.u.

=====

(11)
# CdSb3Mo, PBEsol geometry, DFT meta-GGA SCAN
data_CdSb3Mo
_space_group_name_H-M_alt 'P m -3 m'
_space_group_IT_number 221
_space_group_name_Hall '-P 4 2 3'
_cell_length_a 5.195
_cell_length_b 5.195
_cell_length_c 5.195
_cell_angle_alpha 90.00
_cell_angle_beta 90.00
_cell_angle_gamma 90.00
loop_
_atom_site_label
_atom_site_type_symbol
_atom_site_fract_x
_atom_site_fract_y
_atom_site_fract_z
_atom_site_occupancy
Cd1 Cd 0.000 0.000 0.000 1
Sb1 Sb 0.000 0.500 0.500 1
Mo1 Mo 0.500 0.500 0.500 1
# E_form (uncorrected)   0.498 eV per atom
# Density   6794 kg/m3
# DFT total energy   -174.589 eV for the cell shown
# Size of the total moment   0.00 μB/f.u.

=====

(12)
# Cd3SbMo, PBEsol geometry, DFT meta-GGA SCAN
data_Cd3SbMo
_space_group_name_H-M_alt 'P m -3 m'
_space_group_IT_number 221
_space_group_name_Hall '-P 4 2 3'
_cell_length_a 5.179
_cell_length_b 5.179
_cell_length_c 5.179
_cell_angle_alpha 90.00
_cell_angle_beta 90.00
_cell_angle_gamma 90.00
loop_
_atom_site_label
_atom_site_type_symbol
_atom_site_fract_x
_atom_site_fract_y
_atom_site_fract_z
_atom_site_occupancy
Cd1 Cd 0.000 0.000 0.500 1
Sb1 Sb 0.500 0.500 0.500 1
Mo1 Mo 0.000 0.000 0.000 1
# E_form (uncorrected)   1.161 eV per atom
# Density   6634 kg/m3
# DFT total energy   -157.585 eV for the cell shown
# Size of the total moment   2.34 μB/f.u.